No. 1
Computed, not measured: a relaxed structure of ZnFeRePd at the PBE level of DFT.

```
ZnFeRePd
1.0
-0.227 -1.272 4.093
1.033 2.722 3.154
-3.060 1.569 2.568
Zn Fe Pd Re
1 1 1 1
Cartesian
0.000 0.000 0.000
-1.691 2.265 7.361
-0.564 0.755 2.454
-1.127 1.510 4.907
```

Magnetic moment in μB per formula unit: 1.7
Symmetry: No. 216
ΔE to the lowest computed polymorph in eV per atom: 0.000
Calculated total energy in eV/atom: -6.5262
Formation energy from the elements in meV per atom: 267

***

No. 2
Computed, not measured: a relaxed structure of FeAgBi2 at the PBE level of DFT.

```
FeAgBi2
1.0
0.000 3.635 3.635
3.635 0.000 3.635
3.635 3.635 0.000
Ag Fe Bi
1 1 2
Cartesian
3.635 3.635 3.635
1.817 1.817 1.817
0.000 0.000 0.000
5.452 5.452 5.452
```

Magnetic moment in μB per formula unit: 3.0
Symmetry: No. 216
Calculated total energy in eV/atom: -4.2017

***

No. 3
Computed, not measured: a relaxed structure of GaTc2Pt at the PBE level of DFT.

```
GaTc2Pt
1.0
0.000 3.108 3.108
3.108 0.000 3.108
3.108 3.108 0.000
Ga Pt Tc
1 1 2
Cartesian
3.108 3.108 3.108
1.554 1.554 1.554
0.000 0.000 0.000
4.662 4.662 4.662
```

Magnetic moment in μB per formula unit: 1.1
Symmetry: No. 216
Calculated total energy in eV/atom: -7.4297

***

No. 4
Computed, not measured: a relaxed structure of PmPdW at the PBE level of DFT.

```
PmPdW
1.0
-2.400 -3.821 -1.007
-1.283 -2.881 3.380
-4.453 -0.316 1.201
W Pm Pd
1 1 1
Cartesian
-6.102 -5.264 2.681
-2.034 -1.755 0.894
0.000 0.000 0.000
```

Magnetic moment in μB per formula unit: 2.2
Symmetry: No. 216
ΔE to the lowest computed polymorph in eV per atom: 0.000
Calculated total energy in eV/atom: -6.8736
Formation energy from the elements in meV per atom: 753

***

No. 5
Computed, not measured: a relaxed structure of AlHgAsO at the PBE level of DFT.

```
AlHgAsO
1.0
-2.094 -2.893 -1.319
2.953 -2.354 0.476
-2.957 -1.912 8.886
O Hg As Al
2 2 2 2
Cartesian
0.000 0.000 0.000
0.430 -2.624 -0.422
-1.049 -3.580 4.021
-1.478 -0.956 4.443
-0.658 -2.558 6.652
-1.869 -1.978 1.812
1.251 -1.323 0.915
-3.778 -3.213 7.549
```

Symmetry: No. 129
ΔE to the lowest computed polymorph in eV per atom: 0.400
Calculated total energy in eV/atom: -3.9754

***

No. 6
Computed, not measured: a relaxed structure of NaLaSiPt at the PBE level of DFT.

```
NaLaSiPt
1.0
3.981 -0.830 2.644
2.694 3.720 1.561
0.061 1.140 4.715
La Si Pt Na
1 1 1 1
Cartesian
3.368 2.015 4.460
0.000 0.000 0.000
1.684 1.007 2.230
5.052 3.022 6.690
```

Magnetic moment in μB per formula unit: 0.0
Symmetry: No. 216
ΔE to the lowest computed polymorph in eV per atom: 0.000
Calculated total energy in eV/atom: -4.9136

***

No. 7
Computed, not measured: a relaxed structure of NbSbAsO at the PBE level of DFT.

```
NbSbAsO
1.0
-2.003 3.218 -0.715
-2.380 -1.990 -2.292
-5.924 -1.944 7.838
O As Sb Nb
2 2 2 2
Cartesian
0.000 0.000 0.000
-2.191 0.614 -1.504
-2.586 -1.453 0.701
-5.529 0.123 5.633
-5.153 -0.358 2.415
-2.962 -0.972 3.919
-1.593 1.415 0.425
-6.522 -2.746 5.910
```

Magnetic moment in μB per formula unit: 0.5
Symmetry: No. 129
ΔE to the lowest computed polymorph in eV per atom: 0.393
Calculated total energy in eV/atom: -6.3542

***

No. 8
Computed, not measured: a relaxed structure of LiWAu2 at the PBE level of DFT.

```
LiWAu2
1.0
-0.957 0.259 4.372
-3.927 1.699 1.339
-3.117 -2.689 1.776
Au Li W
2 1 1
Cartesian
-6.001 -0.548 5.615
0.000 0.000 0.000
-4.000 -0.365 3.743
-2.000 -0.183 1.872
```

Magnetic moment in μB per formula unit: 1.0
Symmetry: No. 216
Calculated total energy in eV/atom: -4.8777